Below is a crystal of BaCrTc2 relaxed with PBEsol, with properties calculated at the SCAN level.

Its formation energy from the elements is 1313 meV/atom. The value obtained for the total moment is 0.51 μB per atom. Its excess energy over the best structure of this formula in the dataset is 0.00 eV per formula unit. For the total energy, the calculation gives -30.701 eV/atom.

The space group is Pmmm (No. 47) and the conventional cell measures 3.079, 4.647 and 4.951 Å, with angles of 90.00, 90.00 and 90.00 degrees. The asymmetric unit holds Ba at (0.000, 0.000, 0.000), Cr at (0.500, 0.000, 0.500), Tc at (0.000, 0.500, 0.500) and Tc at (0.500, 0.500, 0.000).

---

Below is a crystal of ZrAu2Se relaxed with PBEsol, with properties calculated at the SCAN level.

The uncorrected formation energy comes out at -0.542 eV/atom. The value obtained for the total moment is 0.00 μB per atom. For the total energy, the calculation gives -47.815 eV/atom.

The space group is Cmmm (No. 65) and the conventional cell measures 5.374, 5.608 and 5.115 Å, with angles of 90.00, 90.00 and 90.00 degrees. The asymmetric unit holds Zr at (0.000, 0.000, 0.000), Au at (0.000, 0.246, 0.500) and Se at (0.000, 0.500, 0.000).

---

Below is a crystal of Fe2SiNi relaxed with PBEsol, with properties calculated at the SCAN level.

The uncorrected formation energy comes out at -0.367 eV/atom. The value obtained for the total moment is 1.24 μB per atom. For the total energy, the calculation gives -15.979 eV/atom.

The space group is I4/mmm (No. 139) and the conventional cell measures 3.436, 3.436 and 7.284 Å, with angles of 90.00, 90.00 and 90.00 degrees. The asymmetric unit holds Fe at (0.000, 0.500, 0.250), Si at (0.000, 0.000, 0.000) and Ni at (0.000, 0.000, 0.500).

---

Below is a crystal of LiSc2Rh relaxed with PBEsol, with properties calculated at the SCAN level.

Its formation energy from the elements is -335 meV/atom. The value obtained for the total moment is 0.01 μB per atom. For the total energy, the calculation gives -16.494 eV/atom.

The space group is P4mm (No. 99) and the conventional cell measures 3.241, 3.241 and 6.748 Å, with angles of 90.00, 90.00 and 90.00 degrees. The asymmetric unit holds Li at (0.000, 0.000, 0.000), Sc at (0.000, 0.000, 0.395), Sc at (0.500, 0.500, 0.757) and Rh at (0.500, 0.500, 0.173).

---

Below is a crystal of AlSiSb relaxed with PBEsol, with properties calculated at the SCAN level.

The uncorrected formation energy comes out at 0.297 eV/atom. The value obtained for the total moment is 0.00 μB per atom. For the total energy, the calculation gives -18.045 eV/atom.

The space group is P3m1 (No. 156) and the conventional cell measures 3.8151, 3.8151 and 4.9963 Å, with angles of 90.00, 90.00 and 120.00 degrees. The asymmetric unit holds Al at (0.0000, 0.0000, 0.0000), Si at (0.6667, 0.3333, 0.2802) and Sb at (0.3333, 0.6667, 0.6071).

---

Below is a crystal of Ba3PPb relaxed with PBEsol, with properties calculated at the SCAN level.

Its formation energy from the elements is -77 meV/atom. The value obtained for the total moment is 0.00 μB per atom. For the total energy, the calculation gives -41.043 eV/atom.

The space group is Pm-3m (No. 221) and the conventional cell measures 6.386, 6.386 and 6.386 Å, with angles of 90.00, 90.00 and 90.00 degrees. The asymmetric unit holds Ba at (0.000, 0.000, 0.500), P at (0.500, 0.500, 0.500) and Pb at (0.000, 0.000, 0.000).